1.
Below is an optimized crystal structure of HoNiC2, with properties calculated at the PBEsol level.

As for the calculated formation energy: -0.411 eV/atom. Its crystal system is orthorhombic. The calculation puts the density of states at the Fermi level at 2.21 states/eV/cell.

It has space group Amm2 (No. 38), with a = 3.507 Å, b = 4.471 Å, c = 5.909 Å, α = 90.00°, β = 90.00° and γ = 90.00°. The asymmetric unit holds Ho at (0.000, 0.000, 0.000), Ni at (0.500, 0.000, 0.389) and C at (0.500, 0.154, 0.700).



2.
Below is an optimized crystal structure of LaCd2Se, with properties calculated at the PBEsol level.

The calculation puts the formation energy (no corrections) at -3.210 eV/f.u. Its crystal system is tetragonal. The calculation puts the density of states at the Fermi level at 3.67 states/eV/cell.

It has space group I4/mmm (No. 139), with a = 4.175 Å, b = 4.175 Å, c = 11.535 Å, α = 90.00°, β = 90.00° and γ = 90.00°. The asymmetric unit holds La at (0.000, 0.000, 0.000), Cd at (0.000, 0.500, 0.250) and Se at (0.000, 0.000, 0.500).



no.,M_tot (μB/f.u.)
1,0.0
2,0.0